No. 1
Entry from Alexandria: a geometry-optimized BaCo2Pb2 structure (PBE-GGA).

Geometry as POSCAR:
```
BaCo2Pb2
1.0
4.825 0.000 0.000
0.000 4.825 0.000
2.413 2.413 5.238
Co Pb Ba
2 2 1
direct
0.392 0.392 0.215
0.608 0.608 0.785
0.250 0.750 0.500
0.750 0.250 0.500
0.000 0.000 0.000
```

Summary:
- DFT total energy (eV/atom) = -4.544
- ΔE_f (eV per atom) = 0.167
- space-group type = No. 139


No. 2
Entry from Alexandria: a geometry-optimized Ba4CoPb structure (PBE-GGA).

Geometry as POSCAR:
```
Ba4CoPb
1.0
0.000 5.039 5.039
5.039 0.000 5.039
5.039 5.039 0.000
Ba Pb Co
4 1 1
direct
0.375 0.375 0.375
0.876 0.375 0.375
0.375 0.876 0.375
0.375 0.375 0.876
0.000 0.000 0.000
0.750 0.750 0.750
```

Summary:
- DFT total energy (eV/atom) = -2.375
- ΔE_f (eV per atom) = 0.710
- space-group type = No. 216


No. 3
Entry from Alexandria: a geometry-optimized Ba2CoPb2 structure (PBE-GGA).

Geometry as POSCAR:
```
Ba2CoPb2
1.0
-6.213 -1.892 -4.046
1.058 -7.358 1.817
-3.194 0.674 4.590
Pb Ba Co
4 4 2
direct
0.848 0.652 0.000
0.348 0.848 0.000
0.652 0.152 0.000
0.152 0.348 0.000
0.836 0.336 0.500
0.336 0.164 0.500
0.664 0.836 0.500
0.164 0.664 0.500
0.500 0.500 0.000
0.000 0.000 0.000
```

Summary:
- DFT total energy (eV/atom) = -3.665
- ΔE_f (eV per atom) = 0.008
- space-group type = No. 127


No. 4
Entry from Alexandria: a geometry-optimized BaCo3Pb structure (PBE-GGA).

Geometry as POSCAR:
```
BaCo3Pb
1.0
-2.820 -4.041 -0.390
-0.058 -0.435 4.924
-4.060 2.814 0.200
Co Pb Ba
3 1 1
direct
0.000 0.000 0.500
0.000 0.500 0.000
0.500 0.000 0.000
0.500 0.500 0.500
0.000 0.000 0.000
```

Summary:
- energy above the lowest structure with this stoichiometry (meV per atom) = 955
- DFT total energy (eV/atom) = -3.464
- ΔE_f (eV per atom) = 1.925
- space-group type = No. 221


No. 5
Entry from Alexandria: a geometry-optimized BaCoPb4 structure (PBE-GGA).

Geometry as POSCAR:
```
BaCoPb4
1.0
0.000 4.613 4.613
4.613 0.000 4.613
4.613 4.613 0.000
Pb Ba Co
4 1 1
direct
0.876 0.375 0.375
0.375 0.375 0.876
0.375 0.375 0.375
0.375 0.876 0.375
0.750 0.750 0.750
0.000 0.000 0.000
```

Summary:
- DFT total energy (eV/atom) = -3.651
- ΔE_f (eV per atom) = 0.326
- space-group type = No. 216


No. 6
Entry from Alexandria: a geometry-optimized Ba2CoPdPb structure (PBE-GGA).

Geometry as POSCAR:
```
Ba2CoPdPb
1.0
5.750 0.000 0.000
0.000 4.931 0.000
0.000 0.000 5.750
Ba Co Pb Pd
2 1 1 1
direct
0.500 0.000 0.000
0.000 0.000 0.500
0.000 0.000 0.000
0.000 0.500 0.000
0.500 0.500 0.500
```

Summary:
- DFT total energy (eV/atom) = -3.943
- ΔE_f (eV per atom) = 0.028
- space-group type = No. 123


No. 7
Entry from Alexandria: a geometry-optimized Rb2BaCoPb structure (PBE-GGA).

Geometry as POSCAR:
```
Rb2BaCoPb
1.0
-7.748 -1.472 -1.219
1.158 -6.100 0.009
-1.200 -0.216 7.886
Pb Ba Rb Co
1 1 2 1
direct
0.000 0.500 0.000
0.000 0.000 0.000
0.000 0.000 0.500
0.500 0.000 0.000
0.500 0.500 0.500
```

Summary:
- DFT total energy (eV/atom) = -1.755
- ΔE_f (eV per atom) = 1.180
- space-group type = No. 123


No. 8
Entry from Alexandria: a geometry-optimized Ba2CoSbPb structure (PBE-GGA).

Geometry as POSCAR:
```
Ba2CoSbPb
1.0
-5.342 2.364 -3.027
0.344 -3.510 -3.348
-3.812 -3.892 3.689
Ba Sb Pb Co
2 1 1 1
direct
0.500 0.000 0.000
0.000 0.000 0.500
0.500 0.500 0.500
0.000 0.000 0.000
0.000 0.500 0.000
```

Summary:
- DFT total energy (eV/atom) = -3.602
- space-group type = No. 123
- energy relative to the elements, uncorrected (eV/atom) = 0.15


No. 9
Entry from Alexandria: a geometry-optimized Ba2CoPbSe structure (PBE-GGA).

Geometry as POSCAR:
```
Ba2CoPbSe
1.0
6.544 0.000 0.000
0.000 4.840 0.000
0.000 0.000 6.544
Se Pb Co Ba
1 1 1 2
direct
0.500 0.500 0.500
0.000 0.000 0.000
0.000 0.500 0.000
0.500 0.000 0.000
0.000 0.000 0.500
```

Summary:
- DFT total energy (eV/atom) = -3.725
- space-group type = No. 123
- energy relative to the elements, uncorrected (eV/atom) = -0.10


No. 10
Entry from Alexandria: a geometry-optimized Ba2CoTePb structure (PBE-GGA).

Geometry as POSCAR:
```
Ba2CoTePb
1.0
-3.075 -4.962 1.131
2.980 -2.827 -4.300
3.412 -1.370 3.266
Te Co Ba Pb
1 1 2 1
direct
0.500 0.500 0.500
0.000 0.000 0.000
0.000 0.500 0.000
0.500 0.000 0.000
0.000 0.000 0.500
```

Summary:
- DFT total energy (eV/atom) = -4.079
- space-group type = No. 123
- energy relative to the elements, uncorrected (eV/atom) = -0.52


No. 11
Entry from Alexandria: a geometry-optimized BaCo2PbW structure (PBE-GGA).

Geometry as POSCAR:
```
BaCo2PbW
1.0
4.798 0.000 0.000
0.000 5.372 0.000
0.000 0.000 4.798
Co W Ba Pb
2 1 1 1
direct
0.500 0.000 0.000
0.000 0.000 0.500
0.000 0.000 0.000
0.500 0.500 0.500
0.000 0.500 0.000
```

Summary:
- DFT total energy (eV/atom) = -5.721
- ΔE_f (eV per atom) = 0.839
- space-group type = No. 123


No. 12
Entry from Alexandria: a geometry-optimized BaYCoPb2 structure (PBE-GGA).

Geometry as POSCAR:
```
BaYCoPb2
1.0
-0.287 -1.239 5.214
4.711 -1.906 -0.194
2.002 4.819 1.256
Pb Ba Co Y
2 1 1 1
direct
0.000 0.000 0.500
0.500 0.000 0.000
0.500 0.500 0.500
0.000 0.000 0.000
0.000 0.500 0.000
```

Summary:
- DFT total energy (eV/atom) = -4.665
- ΔE_f (eV per atom) = -0.083
- space-group type = No. 123


No. 13
Entry from Alexandria: a geometry-optimized BaYCo2Pb structure (PBE-GGA).

Geometry as POSCAR:
```
BaYCo2Pb
1.0
-0.647 -0.458 4.883
1.731 -5.737 -0.309
4.693 1.375 0.751
Ba Co Pb Y
1 2 1 1
direct
0.000 0.500 0.000
0.000 0.000 0.500
0.500 0.000 0.000
0.000 0.000 0.000
0.500 0.500 0.500
```

Summary:
- DFT total energy (eV/atom) = -4.125
- ΔE_f (eV per atom) = 1.136
- space-group type = No. 123


No. 14
Entry from Alexandria: a geometry-optimized BaZn2CoPb structure (PBE-GGA).

Geometry as POSCAR:
```
BaZn2CoPb
1.0
4.894 0.000 0.000
0.000 5.006 0.000
0.000 0.000 4.894
Zn Co Pb Ba
2 1 1 1
direct
0.000 0.000 0.500
0.500 0.000 0.000
0.000 0.000 0.000
0.000 0.500 0.000
0.500 0.500 0.500
```

Summary:
- DFT total energy (eV/atom) = -3.158
- ΔE_f (eV per atom) = -0.101
- space-group type = No. 123


No. 15
Entry from Alexandria: a geometry-optimized BaCo3Pd structure (PBE-GGA).

Geometry as POSCAR:
```
BaCo3Pd
1.0
4.794 0.000 0.000
0.000 4.794 0.000
0.000 0.000 4.794
Pd Ba Co
1 1 3
direct
0.000 0.000 0.000
0.500 0.500 0.500
0.000 0.000 0.500
0.500 0.000 0.000
0.000 0.500 0.000
```

Summary:
- energy above the lowest structure with this stoichiometry (meV per atom) = 0
- DFT total energy (eV/atom) = -4.907
- ΔE_f (eV per atom) = 0.780
- space-group type = No. 221


No. 16
Entry from Alexandria: a geometry-optimized BaCo2Pd structure (PBE-GGA).

Geometry as POSCAR:
```
BaCo2Pd
1.0
-0.909 3.706 2.665
-4.318 0.183 -1.727
-5.431 -3.405 6.946
Ba Co Pd
2 4 2
direct
0.000 0.000 0.000
0.750 0.250 0.500
0.375 0.625 0.250
0.875 0.625 0.750
0.375 0.625 0.750
0.375 0.125 0.250
0.500 0.500 0.000
0.250 0.750 0.500
```

Summary:
- DFT total energy (eV/atom) = -4.995
- ΔE_f (eV per atom) = 0.336
- space-group type = No. 141


No. 17
Entry from Alexandria: a geometry-optimized BaCo2Pd structure (PBE-GGA).

Geometry as POSCAR:
```
BaCo2Pd
1.0
-3.395 1.757 2.710
-3.796 1.929 -1.955
-4.140 -2.176 0.276
Co Ba Pd
2 1 1
direct
0.250 0.250 0.250
0.750 0.750 0.750
0.500 0.500 0.500
0.000 0.000 0.000
```

Summary:
- DFT total energy (eV/atom) = -4.557
- ΔE_f (eV per atom) = 0.775
- space-group type = No. 225


No. 18
Entry from Alexandria: a geometry-optimized Ba3CoPd structure (PBE-GGA).

Geometry as POSCAR:
```
Ba3CoPd
1.0
-3.594 3.674 2.411
-3.918 -4.089 0.391
1.990 -1.416 5.124
Co Ba Pd
1 3 1
direct
0.000 0.000 0.000
0.000 0.500 0.000
0.000 0.000 0.500
0.500 0.000 0.000
0.500 0.500 0.500
```

Summary:
- energy above the lowest structure with this stoichiometry (meV per atom) = 0
- DFT total energy (eV/atom) = -3.376
- ΔE_f (eV per atom) = 0.237
- space-group type = No. 221


No. 19
Entry from Alexandria: a geometry-optimized BaCo3Pd structure (PBE-GGA).

Geometry as POSCAR:
```
BaCo3Pd
1.0
4.743 0.000 0.000
0.000 4.743 0.000
0.000 0.000 4.743
Pd Co Ba
1 3 1
direct
0.500 0.500 0.500
0.500 0.000 0.000
0.000 0.000 0.500
0.000 0.500 0.000
0.000 0.000 0.000
```

Summary:
- energy above the lowest structure with this stoichiometry (meV per atom) = 1470
- DFT total energy (eV/atom) = -3.437
- ΔE_f (eV per atom) = 2.250
- space-group type = No. 221


No. 20
Entry from Alexandria: a geometry-optimized BaCoPdPt2 structure (PBE-GGA).

Geometry as POSCAR:
```
BaCoPdPt2
1.0
4.779 0.000 0.000
0.000 4.790 0.000
0.000 0.000 4.779
Pt Pd Ba Co
2 1 1 1
direct
0.000 0.000 0.500
0.500 0.000 0.000
0.000 0.500 0.000
0.500 0.500 0.500
0.000 0.000 0.000
```

Summary:
- DFT total energy (eV/atom) = -5.243
- ΔE_f (eV per atom) = 0.018
- space-group type = No. 123